A plane-wave DFT calculation with PBE was carried out for an optimized crystal structure of LiDyHoCo.

Lattice parameters (Å, degrees): 4.8449 4.8449 4.8449 60.00 60.00 60.00
Closest atoms and distances in Å follow each position.
Element x y z (fractional)
Li  0.0000  0.0000  0.0000  4 Dy 2.97, 4 Ho 2.97
Dy  0.2500  0.2500  0.2500  4 Co 2.97, 4 Li 2.97
Ho  0.7500  0.7500  0.7500  4 Li 2.97, 4 Co 2.97
Co  0.5000  0.5000  0.5000  4 Dy 2.97, 4 Ho 2.97

Calculated values
Calculated formation energy (eV per atom): -0.08
N(E_F) (states/eV/f.u.): 3.2
Raw total energy (Ry per atom): -0.3406